(1)
Density functional theory data (PBE) for TbPr2Zn3 after structural relaxation.

```
TbPr2Zn3
1.0
-0.968 1.800 3.037
-0.132 -3.165 1.834
10.676 1.137 2.730
Zn Pr Tb
3 2 1
Direct
0.000 0.000 0.347
0.000 0.000 0.653
0.000 0.000 0.000
0.500 0.500 0.829
0.500 0.500 0.171
0.500 0.500 0.500
```

## Properties
ΔE_f   -0.308 eV/atom
Total DFT energy (no corrections)   -3.310 eV/atom
Symmetry   P4/mmm, No. 123

***

(2)
Density functional theory data (PBE) for Tb2PrZn6 after structural relaxation.

```
Tb2PrZn6
1.0
3.550 0.097 -0.148
-0.347 6.820 -3.869
0.335 -0.051 7.841
Zn Tb Pr
6 2 1
Direct
0.500 0.000 0.337
0.500 0.337 0.337
0.500 0.663 0.000
0.500 0.337 0.000
0.500 0.663 0.663
0.500 0.000 0.663
0.000 0.333 0.667
0.000 0.667 0.333
0.000 0.000 0.000
```

## Properties
ΔE_f   -0.361 eV/atom
Total DFT energy (no corrections)   -2.770 eV/atom
Symmetry   P6/mmm, No. 191